# 1
The following is a PBE calculation of a geometry-optimized AsP2Br structure, from the Alexandria database.

energy above the lowest structure with this stoichiometry: 0.291 eV/atom
energy relative to the elements, uncorrected: 149 kJ/mol of formula units
SG: C2/m

```
4
Lattice="5.577 -1.607 0.000 5.577 1.607 0.000 -0.918 0.000 4.932" Properties=species:S:1:pos:R:3 pbc="T T T"
As 0.000 0.000 0.000
P 2.297 0.000 4.320
P 7.939 0.000 0.611
Br 5.118 0.000 2.466
```


# 2
The following is a PBE calculation of a geometry-optimized Be6ZnPd5 structure, from the Alexandria database.

formation energy: -0.4778 eV/atom
SG: Immm

```
12
Lattice="-2.023 2.804 6.030 2.023 -2.804 6.030 2.023 2.804 -6.030" Properties=species:S:1:pos:R:3 pbc="T T T"
Be 2.023 1.331 -2.088
Be 0.000 1.273 0.000
Be 2.023 1.331 2.088
Be 0.000 1.473 3.942
Be 0.000 4.335 0.000
Be 0.000 1.473 8.118
Zn 0.000 0.000 6.030
Pd 2.023 0.000 0.000
Pd 0.000 0.000 2.040
Pd 2.023 0.000 4.165
Pd 0.000 2.804 1.865
Pd 0.000 0.000 10.019
```


# 3
The following is a PBE calculation of a geometry-optimized NaSn2O structure, from the Alexandria database.

energy above the lowest structure with this stoichiometry: 0.000 eV/atom
energy relative to the elements, uncorrected: -134 kJ/mol of formula units
SG: I-42d

```
8
Lattice="-2.754 2.754 7.066 2.754 -2.754 7.066 2.754 2.754 -7.066" Properties=species:S:1:pos:R:3 pbc="T T T"
Na 0.000 0.000 0.000
Na 0.000 2.754 3.533
Sn 1.377 -0.608 5.300
Sn 2.146 1.377 1.767
Sn 1.377 3.362 -1.767
Sn 0.608 1.377 8.833
O 2.754 0.000 3.533
O 0.000 0.000 7.066
```


# 4
The following is a PBE calculation of a geometry-optimized AlAg7 structure, from the Alexandria database.

energy above the lowest structure with this stoichiometry: 0.017 eV/atom
formation energy: -0.0080 eV/atom
SG: C2/m

```
8
Lattice="2.901 -4.108 0.000 2.901 4.108 0.000 -2.837 0.000 5.898" Properties=species:S:1:pos:R:3 pbc="T T T"
Al 0.000 0.000 0.000
Ag 1.473 2.059 1.449
Ag 0.033 0.000 2.886
Ag 1.492 2.059 4.448
Ag 2.901 0.000 0.000
Ag 1.473 -2.059 1.449
Ag 2.932 0.000 3.012
Ag 1.492 -2.059 4.448
```


# 5
The following is a PBE calculation of a geometry-optimized Sm4Hg3Os structure, from the Alexandria database.

formation energy: -0.3060 eV/atom
SG: Im-3m

```
8
Lattice="-3.700 3.700 3.700 3.700 -3.700 3.700 3.700 3.700 -3.700" Properties=species:S:1:pos:R:3 pbc="T T T"
Sm 1.850 1.850 -1.850
Sm 1.850 -1.850 1.850
Sm -1.850 1.850 1.850
Sm 1.850 1.850 1.850
Hg 3.700 0.000 0.000
Hg 0.000 3.700 0.000
Hg 0.000 0.000 3.700
Os 0.000 0.000 0.000
```


# 6
The following is a PBE calculation of a geometry-optimized Rb4Np3US8 structure, from the Alexandria database.

energy relative to the elements, uncorrected: -2115 kJ/mol of formula units
SG: R-3m

```
16
Lattice="4.103 2.369 7.694 -4.103 2.369 7.694 0.000 -4.738 7.694" Properties=species:S:1:pos:R:3 pbc="T T T"
Rb 0.000 0.000 0.000
Rb -2.051 -1.184 7.694
Rb -2.051 1.184 15.388
Rb 0.000 2.369 7.694
Np -4.103 0.000 11.541
Np -2.051 1.184 3.847
Np 2.051 1.184 3.847
U 0.000 0.000 11.541
S 0.000 0.000 5.316
S -2.035 -1.175 13.012
S 0.000 -2.350 10.070
S -2.035 1.175 10.070
S 2.035 -1.175 13.012
S 0.000 2.350 13.012
S 2.035 1.175 10.070
S 0.000 0.000 17.766
```